No. 1
Dy2Er5Bi4 | Alexandria | PBE-GGA | optimized geometry; calculated volume = 31.9 Å³/atom; E_tot = -49.75 eV/cell; space group = C2/m; formation energy from the elements = -0.20 eV/atom
1.0
12.487 -1.740 0.000
12.487 1.740 0.000
-0.196 0.000 8.072
Dy Er Bi
2 5 4
Direct
0.232 0.232 0.322
0.768 0.768 0.678
0.000 0.000 0.500
0.327 0.327 0.013
0.361 0.361 0.448
0.639 0.639 0.552
0.673 0.673 0.987
0.098 0.098 0.236
0.450 0.450 0.191
0.550 0.550 0.809
0.902 0.902 0.764

=====

No. 2
Cs3Pu2Cl7 | Alexandria | PBE-GGA | optimized geometry; calculated volume = 37.4 Å³/atom; E_tot = -66.62 eV/cell; space group = I4/mmm; formation energy (no corrections) = -1.873 eV/atom; distance to the lowest polymorph of the same formula = 0.0000 eV/atom
1.0
-2.797 2.797 14.321
2.797 -2.797 14.321
2.797 2.797 -14.321
Cs Pu Cl
3 2 7
Direct
0.000 0.000 0.000
0.182 0.182 0.000
0.818 0.818 0.000
0.401 0.401 0.000
0.599 0.599 0.000
0.096 0.596 0.500
0.303 0.303 0.000
0.404 0.904 0.500
0.500 0.500 0.000
0.596 0.096 0.500
0.697 0.697 0.000
0.904 0.404 0.500

=====

No. 3
LaTa3B | Alexandria | PBE-GGA | optimized geometry; calculated volume = 23.4 Å³/atom; E_tot = -31.40 eV/cell; space group = Pm-3m; formation energy from the elements = 3.15 eV/atom; distance to the lowest polymorph of the same formula = 2.7814 eV/atom
1.0
4.894 0.000 0.000
0.000 4.894 0.000
0.000 0.000 4.894
La Ta B
1 3 1
Direct
0.000 0.000 0.000
0.000 0.000 0.500
0.000 0.500 0.000
0.500 0.000 0.000
0.500 0.500 0.500

=====

No. 4
Tm2ZnRh | Alexandria | PBE-GGA | optimized geometry; calculated volume = 20.7 Å³/atom; E_tot = -20.23 eV/cell; space group = P4/mmm; formation energy from the elements = -0.67 eV/atom
1.0
3.441 0.000 0.000
0.000 3.441 0.000
0.000 0.000 6.979
Tm Zn Rh
2 1 1
Direct
0.000 0.000 0.234
0.000 0.000 0.766
0.500 0.500 0.500
0.500 0.500 0.000

=====

No. 5
CaNd2IrO6 | Alexandria | PBE-GGA | optimized geometry; calculated volume = 13.7 Å³/atom; E_tot = -149.97 eV/cell; space group = P2_1/c; formation energy (no corrections) = -2.484 eV/atom
1.0
5.622 0.000 0.000
0.000 5.984 0.000
-5.493 0.000 8.129
Ca Nd Ir O
2 4 2 12
Direct
0.000 0.000 0.000
0.000 0.500 0.500
0.273 0.067 0.749
0.273 0.433 0.249
0.727 0.567 0.751
0.727 0.933 0.251
0.500 0.000 0.500
0.500 0.500 0.000
0.144 0.051 0.268
0.144 0.449 0.768
0.265 0.686 0.059
0.265 0.814 0.559
0.394 0.212 0.068
0.394 0.288 0.568
0.606 0.712 0.432
0.606 0.788 0.932
0.735 0.186 0.441
0.735 0.314 0.941
0.856 0.551 0.232
0.856 0.949 0.732

=====

No. 6
Pu2HIr | Alexandria | PBE-GGA | optimized geometry; calculated volume = 16.8 Å³/atom; E_tot = -83.63 eV/cell; space group = P-1; distance to the lowest polymorph of the same formula = 0.0000 eV/atom
1.0
3.012 0.000 0.000
0.808 5.819 0.000
0.909 2.828 7.669
Pu H Ir
4 2 2
Direct
0.098 0.311 0.383
0.133 0.770 0.996
0.867 0.230 0.004
0.902 0.689 0.617
0.354 0.526 0.848
0.646 0.474 0.152
0.454 0.865 0.297
0.546 0.135 0.703

=====

No. 7
CuReSe2 | Alexandria | PBE-GGA | optimized geometry; calculated volume = 17.4 Å³/atom; E_tot = -21.30 eV/cell; space group = P2/m; formation energy (no corrections) = 0.555 eV/atom; distance to the lowest polymorph of the same formula = 0.3753 eV/atom
1.0
2.687 0.000 0.000
0.000 4.131 0.000
-0.369 0.000 6.260
Cu Re Se
1 1 2
Direct
0.000 0.000 0.000
0.000 0.000 0.500
0.155 0.500 0.745
0.845 0.500 0.255

=====

No. 8
La12Nd5Tm2 | Alexandria | PBE-GGA | optimized geometry; calculated volume = 35.7 Å³/atom; E_tot = -91.62 eV/cell; space group = P-1; formation energy from the elements = 0.02 eV/atom; distance to the lowest polymorph of the same formula = 0.0000 eV/atom
1.0
5.242 0.000 0.000
2.620 10.778 0.000
0.013 5.700 11.994
La Nd Tm
12 5 2
Direct
0.054 0.392 0.421
0.104 0.291 0.843
0.263 0.975 0.105
0.317 0.867 0.528
0.370 0.759 0.948
0.422 0.655 0.367
0.578 0.345 0.633
0.630 0.241 0.052
0.683 0.133 0.472
0.737 0.025 0.895
0.896 0.709 0.157
0.946 0.608 0.579
0.000 0.500 0.000
0.156 0.188 0.261
0.211 0.079 0.684
0.789 0.921 0.316
0.844 0.812 0.739
0.473 0.553 0.790
0.527 0.447 0.210

=====

No. 9
PmEr5Tm | Alexandria | PBE-GGA | optimized geometry; calculated volume = 31.6 Å³/atom; E_tot = -62.55 eV/cell; space group = C2/c; formation energy from the elements = 0.11 eV/atom; distance to the lowest polymorph of the same formula = 0.0000 eV/atom
1.0
4.349 -4.773 0.000
4.349 4.773 0.000
-3.930 0.000 10.642
Pm Er Tm
2 10 2
Direct
0.000 0.500 0.000
0.500 0.000 0.500
0.067 0.272 0.535
0.084 0.916 0.250
0.272 0.067 0.035
0.302 0.447 0.333
0.447 0.302 0.833
0.553 0.698 0.167
0.698 0.553 0.667
0.728 0.933 0.965
0.916 0.084 0.750
0.933 0.728 0.465
0.260 0.740 0.750
0.740 0.260 0.250

=====

No. 10
Li2TaBe | Alexandria | PBE-GGA | optimized geometry; calculated volume = 15.4 Å³/atom; E_tot = -17.21 eV/cell; space group = Cmmm; formation energy from the elements = 0.55 eV/atom
1.0
2.578 -4.810 0.000
2.578 4.810 0.000
0.000 0.000 2.481
Li Ta Be
2 1 1
Direct
0.000 0.500 0.000
0.500 0.000 0.000
0.000 0.000 0.500
0.500 0.500 0.500

=====

No. 11
Hg2SbOs | Alexandria | PBE-GGA | optimized geometry; calculated volume = 20.6 Å³/atom; E_tot = -12.50 eV/cell; space group = F-43m; formation energy (no corrections) = 0.863 eV/atom
1.0
0.000 3.454 3.454
3.454 0.000 3.454
3.454 3.454 0.000
Hg Sb Os
2 1 1
Direct
0.000 0.000 0.000
0.250 0.250 0.250
0.750 0.750 0.750
0.500 0.500 0.500

=====

No. 12
AcBi3Pb2 | Alexandria | PBE-GGA | optimized geometry; calculated volume = 36.1 Å³/atom; E_tot = -49.52 eV/cell; space group = Pmc2_1; formation energy from the elements = -0.27 eV/atom; distance to the lowest polymorph of the same formula = 0.0197 eV/atom
1.0
4.820 0.000 0.000
0.000 12.750 0.000
0.000 0.000 7.047
Ac Bi Pb
2 6 4
Direct
0.000 0.127 0.000
0.000 0.873 0.500
0.000 0.385 0.847
0.000 0.615 0.347
0.500 0.012 0.730
0.500 0.291 0.224
0.500 0.709 0.724
0.500 0.988 0.230
0.000 0.204 0.504
0.000 0.796 0.004
0.500 0.456 0.574
0.500 0.544 0.074

=====

Please write out number 5 again, unchanged.
CaNd2IrO6 | Alexandria | PBE-GGA | optimized geometry; calculated volume = 13.7 Å³/atom; E_tot = -149.97 eV/cell; space group = P2_1/c; formation energy (no corrections) = -2.484 eV/atom
1.0
5.622 0.000 0.000
0.000 5.984 0.000
-5.493 0.000 8.129
Ca Nd Ir O
2 4 2 12
Direct
0.000 0.000 0.000
0.000 0.500 0.500
0.273 0.067 0.749
0.273 0.433 0.249
0.727 0.567 0.751
0.727 0.933 0.251
0.500 0.000 0.500
0.500 0.500 0.000
0.144 0.051 0.268
0.144 0.449 0.768
0.265 0.686 0.059
0.265 0.814 0.559
0.394 0.212 0.068
0.394 0.288 0.568
0.606 0.712 0.432
0.606 0.788 0.932
0.735 0.186 0.441
0.735 0.314 0.941
0.856 0.551 0.232
0.856 0.949 0.732

=====

calculated volume of number 12 (AcBi3Pb2)? 36.1 Å³/atom

=====

Which formula does entry 7 have? CuReSe2

=====

Among the records above, which one has the highest calculated volume? Cs3Pu2Cl7